# 1
YTe2H, relaxed, DFT GGA-PBE; mass density = 5.65 Mg/m³; distance to the lowest polymorph of the same formula = 0.082 eV per atom; space-group type = No. 1; DOS(E_F) = 0.0 states/eV/cell
1.0
4.149 0.000 0.000
2.066 5.501 0.000
2.050 0.943 8.891
Y Te H
2 4 2
direct
0.000 0.000 0.000 Y
0.185 0.353 0.281 Y
0.499 0.483 0.532 Te
0.632 0.024 0.710 Te
0.710 0.559 0.022 Te
0.871 0.926 0.334 Te
0.400 0.120 0.080 H
0.478 0.165 0.880 H

=====

# 2
ZnTeH3, relaxed, DFT GGA-PBE; mass density = 5.96 Mg/m³; distance to the lowest polymorph of the same formula = 0.119 eV per atom; space-group type = No. 221; DOS(E_F) = 2.0 states/eV/cell
1.0
3.794 0.000 0.000
0.000 3.794 0.000
0.000 0.000 3.794
Zn Te H
1 1 3
direct
0.000 0.000 0.000 Zn
0.500 0.500 0.500 Te
0.000 0.000 0.500 H
0.000 0.500 0.000 H
0.500 0.000 0.000 H

=====

# 3
Zn2TeH, relaxed, DFT GGA-PBE; mass density = 6.09 Mg/m³; distance to the lowest polymorph of the same formula = 0.361 eV per atom; space-group type = No. 225; DOS(E_F) = 10.2 states/eV/cell
1.0
6.564 0.000 0.000
0.000 6.564 0.000
0.000 0.000 6.564
Zn Te H
8 4 4
direct
0.250 0.250 0.250 Zn
0.250 0.250 0.750 Zn
0.250 0.750 0.250 Zn
0.250 0.750 0.750 Zn
0.750 0.250 0.250 Zn
0.750 0.250 0.750 Zn
0.750 0.750 0.250 Zn
0.750 0.750 0.750 Zn
0.000 0.000 0.000 Te
0.000 0.500 0.500 Te
0.500 0.000 0.500 Te
0.500 0.500 0.000 Te
0.000 0.000 0.500 H
0.000 0.500 0.000 H
0.500 0.000 0.000 H
0.500 0.500 0.500 H

=====

# 4
ZnTeH2, relaxed, DFT GGA-PBE; mass density = 5.54 Mg/m³; distance to the lowest polymorph of the same formula = 0.257 eV per atom; space-group type = No. 141; DOS(E_F) = 7.4 states/eV/cell
1.0
5.456 0.000 0.000
0.000 5.456 0.000
0.000 0.000 7.852
Zn Te H
4 4 8
direct
0.000 0.250 0.375 Zn
0.000 0.750 0.625 Zn
0.500 0.250 0.125 Zn
0.500 0.750 0.875 Zn
0.000 0.250 0.875 Te
0.000 0.750 0.125 Te
0.500 0.250 0.625 Te
0.500 0.750 0.375 Te
0.000 0.000 0.500 H
0.000 0.500 0.500 H
0.250 0.250 0.250 H
0.250 0.750 0.750 H
0.500 0.000 0.000 H
0.500 0.500 0.000 H
0.750 0.250 0.250 H
0.750 0.750 0.750 H

=====

# 5
ZnTeH3, relaxed, DFT GGA-PBE; mass density = 4.65 Mg/m³; distance to the lowest polymorph of the same formula = 0.000 eV per atom; space-group type = No. 221; DOS(E_F) = 0.8 states/eV/cell
1.0
4.122 0.000 0.000
0.000 4.122 0.000
0.000 0.000 4.122
Zn Te H
1 1 3
direct
0.000 0.000 0.000 Zn
0.500 0.500 0.500 Te
0.000 0.500 0.500 H
0.500 0.000 0.500 H
0.500 0.500 0.000 H

=====

# 6
ZnTeH2, relaxed, DFT GGA-PBE; mass density = 3.35 Mg/m³; distance to the lowest polymorph of the same formula = 0.000 eV per atom; space-group type = No. 1; DOS(E_F) = 0.3 states/eV/cell
1.0
3.146 0.000 0.000
0.270 5.198 0.000
0.126 1.123 5.903
Zn Te H
1 1 2
direct
0.000 0.000 0.000 Zn
0.001 0.483 0.079 Te
0.491 0.039 0.519 H
0.516 0.900 0.586 H

=====

# 7
Zn2TeH2, relaxed, DFT GGA-PBE; mass density = 6.20 Mg/m³; space-group type = No. 139; E = -2.16 eV per atom; DOS(E_F) = 3.5 states/eV/cell
1.0
3.487 0.000 0.000
0.000 3.487 0.000
0.000 0.000 11.475
Zn Te H
4 2 4
direct
0.000 0.000 0.168 Zn
0.000 0.000 0.832 Zn
0.500 0.500 0.332 Zn
0.500 0.500 0.668 Zn
0.000 0.000 0.500 Te
0.500 0.500 0.000 Te
0.000 0.500 0.250 H
0.000 0.500 0.750 H
0.500 0.000 0.250 H
0.500 0.000 0.750 H

=====

# 8
Zn2Te2H, relaxed, DFT GGA-PBE; mass density = 6.29 Mg/m³; distance to the lowest polymorph of the same formula = 0.000 eV per atom; space-group type = No. 127; DOS(E_F) = 3.4 states/eV/cell
1.0
5.998 0.000 0.000
0.000 5.998 0.000
0.000 0.000 5.683
Zn Te H
4 4 2
direct
0.158 0.342 0.000 Zn
0.342 0.842 0.000 Zn
0.658 0.158 0.000 Zn
0.842 0.658 0.000 Zn
0.231 0.269 0.500 Te
0.269 0.769 0.500 Te
0.731 0.231 0.500 Te
0.769 0.731 0.500 Te
0.000 0.000 0.000 H
0.500 0.500 0.000 H

=====

# 9
ZnTeH2, relaxed, DFT GGA-PBE; mass density = 6.48 Mg/m³; distance to the lowest polymorph of the same formula = 0.623 eV per atom; space-group type = No. 225; DOS(E_F) = 4.2 states/eV/cell
1.0
5.847 0.000 0.000
0.000 5.847 0.000
0.000 0.000 5.847
Zn Te H
4 4 8
direct
0.000 0.000 0.000 Zn
0.000 0.500 0.500 Zn
0.500 0.000 0.500 Zn
0.500 0.500 0.000 Zn
0.000 0.000 0.500 Te
0.000 0.500 0.000 Te
0.500 0.000 0.000 Te
0.500 0.500 0.500 Te
0.250 0.250 0.250 H
0.250 0.250 0.750 H
0.250 0.750 0.250 H
0.250 0.750 0.750 H
0.750 0.250 0.250 H
0.750 0.250 0.750 H
0.750 0.750 0.250 H
0.750 0.750 0.750 H

=====

# 10
Zn3TeH, relaxed, DFT GGA-PBE; mass density = 6.45 Mg/m³; space-group type = No. 221; E = -1.76 eV per atom; DOS(E_F) = 2.3 states/eV/cell
1.0
4.372 0.000 0.000
0.000 4.372 0.000
0.000 0.000 4.372
Zn Te H
3 1 1
direct
0.000 0.000 0.500 Zn
0.000 0.500 0.000 Zn
0.500 0.000 0.000 Zn
0.500 0.500 0.500 Te
0.000 0.000 0.000 H

=====

# 11
Zn2TeH, relaxed, DFT GGA-PBE; mass density = 5.89 Mg/m³; distance to the lowest polymorph of the same formula = 0.000 eV per atom; space-group type = No. 122; DOS(E_F) = 4.3 states/eV/cell
1.0
4.773 0.000 0.000
0.000 4.773 0.000
0.000 0.000 12.843
Zn Te H
8 4 4
direct
0.116 0.250 0.125 Zn
0.250 0.616 0.375 Zn
0.250 0.884 0.875 Zn
0.384 0.250 0.625 Zn
0.616 0.750 0.625 Zn
0.750 0.116 0.875 Zn
0.750 0.384 0.375 Zn
0.884 0.750 0.125 Zn
0.000 0.000 0.500 Te
0.000 0.500 0.750 Te
0.500 0.000 0.250 Te
0.500 0.500 0.000 Te
0.000 0.000 0.000 H
0.000 0.500 0.250 H
0.500 0.000 0.750 H
0.500 0.500 0.500 H

=====

# 12
Zn2Te2H, relaxed, DFT GGA-PBE; mass density = 4.94 Mg/m³; distance to the lowest polymorph of the same formula = 0.265 eV per atom; space-group type = No. 139; DOS(E_F) = 2.7 states/eV/cell
1.0
4.765 0.000 0.000
0.000 4.765 0.000
0.000 0.000 11.454
Zn Te H
4 4 2
direct
0.000 0.000 0.104 Zn
0.000 0.000 0.896 Zn
0.500 0.500 0.396 Zn
0.500 0.500 0.604 Zn
0.000 0.500 0.250 Te
0.000 0.500 0.750 Te
0.500 0.000 0.250 Te
0.500 0.000 0.750 Te
0.000 0.000 0.500 H
0.500 0.500 0.000 H

=====

# 13
Zr2Te4H, relaxed, DFT GGA-PBE; mass density = 5.96 Mg/m³; space-group type = No. 74; E = -5.31 eV per atom; DOS(E_F) = 6.1 states/eV/cell
1.0
-3.993 4.173 5.802
3.993 -4.173 5.802
3.993 4.173 -5.802
Zr Te H
4 8 2
direct
0.000 0.000 0.000 Zr
0.500 0.000 0.000 Zr
0.500 0.000 0.500 Zr
0.500 0.500 0.500 Zr
0.244 0.748 0.495 Te
0.245 0.253 0.508 Te
0.245 0.738 0.992 Te
0.247 0.252 0.995 Te
0.753 0.748 0.005 Te
0.755 0.262 0.008 Te
0.755 0.747 0.492 Te
0.756 0.252 0.505 Te
0.227 0.477 0.750 H
0.773 0.523 0.250 H